Here is a relaxed structure of VCrTcP from the Alexandria database. Energies are from GGA-PBE.

Summary:
Formation energy   -1.19 eV per formula unit
Raw total energy   -8.927 eV/atom
Size of the total moment   0.002 μB/cell
DOS at the Fermi energy   0.632 states/eV per atom
ρ   7.8 g/cm3
Volume   12.34 A^3/atom

abc: 5.823 5.823 5.823
angles: 90.00 90.00 90.00
Space group F-43m (No. 216)
Symmetry-distinct sites (fractional):
V: 0.000 0.000 0.000 x4
Cr: 0.250 0.250 0.250 x4
Tc: 0.250 0.250 0.750 x4
P: 0.000 0.000 0.500 x4

***

Here is a relaxed structure of Ce2HoTmBi5 from the Alexandria database. Energies are from GGA-PBE.

Summary:
Formation energy   -0.81 eV per formula unit
Raw total energy   -4.571 eV/atom
Size of the total moment   2.017 μB/cell
DOS at the Fermi energy   1.960 states/eV per atom
ρ   7.9 g/cm3
Volume   38.83 A^3/atom

abc: 5.449 5.449 11.769
angles: 90.00 90.00 90.00
Space group P4/mmm (No. 123)
Symmetry-distinct sites (fractional):
Ce: 0.000 0.000 0.215 x2
Ho: 0.500 0.500 0.000 x1
Tm: 0.500 0.500 0.500 x1
Bi: 0.000 0.000 0.500 x1
Bi: 0.000 0.500 0.000 x2
Bi: 0.500 0.500 0.254 x2

***

Here is a relaxed structure of NaPmMgI6 from the Alexandria database. Energies are from GGA-PBE.

Summary:
Raw total energy   -3.114 eV/atom
Size of the total moment   0.000 μB/cell
DOS at the Fermi energy   0.000 states/eV per atom
ρ   4.2 g/cm3
Volume   41.47 A^3/atom
Raw formation energy   -1229 meV per atom

abc: 7.7166 7.7166 14.4766
angles: 90.00 90.00 120.00
Space group P-31c (No. 163)
Symmetry-distinct sites (fractional):
Na: 0.0000 0.0000 0.0000 x2
Pm: 0.3333 0.6667 0.2500 x2
Mg: 0.3333 0.6667 0.7500 x2
I: 0.0154 0.3623 0.6305 x12

***

Here is a relaxed structure of Zr2Br from the Alexandria database. Energies are from GGA-PBE.

Summary:
Raw total energy   -6.289 eV/atom
Size of the total moment   0.000 μB/cell
DOS at the Fermi energy   0.585 states/eV per atom
Energy above the lowest structure with this stoichiometry   89 kJ/mol of formula units
ρ   6.4 g/cm3
Volume   22.53 A^3/atom
Raw formation energy   -33 meV per atom

abc: 3.229 3.229 25.927
angles: 90.00 90.00 90.00
Space group I4_1/amd (No. 141, origin choice 2)
Symmetry-distinct sites (fractional):
Zr: 0.000 0.250 0.298 x8
Br: 0.000 0.250 0.875 x4

***

Here is a relaxed structure of YAl2Pd from the Alexandria database. Energies are from GGA-PBE.

Summary:
Formation energy   -1.08 eV per formula unit
Raw total energy   -5.057 eV/atom
Size of the total moment   0.000 μB/cell
DOS at the Fermi energy   0.485 states/eV per atom
ρ   4.4 g/cm3
Volume   23.28 A^3/atom

abc: 4.625 4.625 17.413
angles: 90.00 90.00 90.00
Space group I-42d (No. 122)
Symmetry-distinct sites (fractional):
Y: 0.000 0.000 0.000 x4
Al: 0.095 0.250 0.625 x8
Pd: 0.000 0.000 0.500 x4

***

Here is a relaxed structure of MnTcSb from the Alexandria database. Energies are from GGA-PBE.

Summary:
Raw total energy   -7.489 eV/atom
Size of the total moment   2.094 μB/cell
DOS at the Fermi energy   1.262 states/eV per atom
Energy above the lowest structure with this stoichiometry   85 kJ/mol of formula units
ρ   9.0 g/cm3
Volume   16.91 A^3/atom
Raw formation energy   397 meV per atom

abc: 3.0511 3.0511 6.2915
angles: 90.00 90.00 120.00
Space group P3m1 (No. 156)
Symmetry-distinct sites (fractional):
Mn: 0.0000 0.0000 0.0000 x1
Tc: 0.6667 0.3333 0.7155 x1
Sb: 0.3333 0.6667 0.3526 x1

***

Here is a relaxed structure of Nd2ZnSb from the Alexandria database. Energies are from GGA-PBE.

Summary:
Raw total energy   -4.313 eV/atom
Size of the total moment   0.000 μB/cell
DOS at the Fermi energy   0.644 states/eV per atom
Energy above the lowest structure with this stoichiometry   52 kJ/mol of formula units
ρ   7.3 g/cm3
Volume   27.21 A^3/atom
Raw formation energy   -580 meV per atom

abc: 7.579 7.579 7.579
angles: 90.00 90.00 90.00
Space group Fm-3m (No. 225)
Symmetry-distinct sites (fractional):
Nd: 0.250 0.250 0.250 x8
Zn: 0.000 0.000 0.000 x4
Sb: 0.000 0.000 0.500 x4

***

Here is a relaxed structure of Cs2TlBi from the Alexandria database. Energies are from GGA-PBE.

Summary:
Formation energy   -1.23 eV per formula unit
Raw total energy   -2.297 eV/atom
Size of the total moment   0.000 μB/cell
DOS at the Fermi energy   0.055 states/eV per atom
Energy above the lowest structure with this stoichiometry   0 kJ/mol of formula units
ρ   5.3 g/cm3
Volume   53.63 A^3/atom

abc: 7.956 4.981 11.415
angles: 90.00 108.47 90.00
Space group P2_1/m (No. 11)
Symmetry-distinct sites (fractional):
Cs: 0.208 0.250 0.422 x2
Cs: 0.271 0.750 0.069 x2
Tl: 0.354 0.750 0.718 x2
Bi: 0.158 0.250 0.780 x2

***

Here is a relaxed structure of Ac2EuGa from the Alexandria database. Energies are from GGA-PBE.

Summary:
Formation energy   -0.25 eV per formula unit
Raw total energy   -5.441 eV/atom
Size of the total moment   30.548 μB/cell
DOS at the Fermi energy   1.119 states/eV per atom
Energy above the lowest structure with this stoichiometry   55 kJ/mol of formula units
ρ   8.1 g/cm3
Volume   34.82 A^3/atom

abc: 8.228 8.228 8.228
angles: 90.00 90.00 90.00
Space group Fm-3m (No. 225)
Symmetry-distinct sites (fractional):
Ac: 0.250 0.250 0.250 x8
Eu: 0.000 0.000 0.000 x4
Ga: 0.000 0.000 0.500 x4

***

Here is a relaxed structure of Be2TeS from the Alexandria database. Energies are from GGA-PBE.

Summary:
Raw total energy   -2.992 eV/atom
Size of the total moment   0.000 μB/cell
DOS at the Fermi energy   0.554 states/eV per atom
Energy above the lowest structure with this stoichiometry   516 kJ/mol of formula units
ρ   4.7 g/cm3
Volume   15.79 A^3/atom
Raw formation energy   689 meV per atom

abc: 6.321 6.321 6.321
angles: 90.00 90.00 90.00
Space group Fm-3m (No. 225)
Symmetry-distinct sites (fractional):
Be: 0.250 0.250 0.250 x8
Te: 0.000 0.000 0.000 x4
S: 0.000 0.000 0.500 x4

***

Here is a relaxed structure of VInBr2 from the Alexandria database. Energies are from GGA-PBE.

Summary:
Raw total energy   -4.209 eV/atom
Size of the total moment   9.406 μB/cell
DOS at the Fermi energy   0.377 states/eV per atom
Energy above the lowest structure with this stoichiometry   0 kJ/mol of formula units
ρ   4.4 g/cm3
Volume   30.50 A^3/atom
Raw formation energy   -409 meV per atom

abc: 3.7443 3.7443 30.1482
angles: 90.00 90.00 120.00
Space group R-3m (No. 166, hexagonal axes)
Symmetry-distinct sites (fractional):
V: 0.0000 0.0000 0.0000 x3
In: 0.0000 0.0000 0.5000 x3
Br: 0.0000 0.0000 0.3832 x6

***

Here is a relaxed structure of YPuIrPd from the Alexandria database. Energies are from GGA-PBE.

Summary:
Formation energy   -2.50 eV per formula unit
Raw total energy   -9.338 eV/atom
Size of the total moment   21.799 μB/cell
DOS at the Fermi energy   2.634 states/eV per atom
ρ   12.5 g/cm3
Volume   20.95 A^3/atom

abc: 6.946 6.946 6.946
angles: 90.00 90.00 90.00
Space group F-43m (No. 216)
Symmetry-distinct sites (fractional):
Y: 0.000 0.000 0.000 x4
Pu: 0.000 0.000 0.500 x4
Ir: 0.250 0.250 0.250 x4
Pd: 0.250 0.250 0.750 x4

***

Here is a relaxed structure of Pr3Tm2In2 from the Alexandria database. Energies are from GGA-PBE.

Summary:
Formation energy   -1.75 eV per formula unit
Raw total energy   -4.358 eV/atom
Size of the total moment   0.000 μB/cell
DOS at the Fermi energy   1.022 states/eV per atom
Energy above the lowest structure with this stoichiometry   0 kJ/mol of formula units
ρ   7.7 g/cm3
Volume   30.55 A^3/atom

abc: 13.636 3.723 8.667
angles: 90.00 103.59 90.00
Space group C2/m (No. 12)
Symmetry-distinct sites (fractional):
Pr: 0.000 0.000 0.000 x2
Pr: 0.231 0.500 0.168 x4
Tm: 0.132 0.000 0.445 x4
In: 0.059 0.500 0.713 x4

***

Here is a relaxed structure of BeNbIr from the Alexandria database. Energies are from GGA-PBE.

Summary:
Formation energy   -1.57 eV per formula unit
Raw total energy   -8.074 eV/atom
Size of the total moment   0.000 μB/cell
DOS at the Fermi energy   0.646 states/eV per atom
Energy above the lowest structure with this stoichiometry   14 kJ/mol of formula units
ρ   12.0 g/cm3
Volume   13.59 A^3/atom

abc: 6.461 3.399 11.139
angles: 90.00 90.72 90.00
Space group P2_1/m (No. 11)
Symmetry-distinct sites (fractional):
Be: 0.227 0.250 0.249 x2
Be: 0.262 0.250 0.580 x2
Be: 0.263 0.750 0.912 x2
Nb: 0.033 0.750 0.115 x2
Nb: 0.151 0.750 0.420 x2
Nb: 0.476 0.250 0.790 x2
Ir: 0.137 0.750 0.704 x2
Ir: 0.346 0.250 0.046 x2
Ir: 0.485 0.250 0.402 x2

***

Here is a relaxed structure of DyTm3Pt2 from the Alexandria database. Energies are from GGA-PBE.

Summary:
Formation energy   -5.97 eV per formula unit
Raw total energy   -6.011 eV/atom
Size of the total moment   0.000 μB/cell
DOS at the Fermi energy   0.969 states/eV per atom
Energy above the lowest structure with this stoichiometry   0 kJ/mol of formula units
ρ   12.1 g/cm3
Volume   24.28 A^3/atom

abc: 4.731 8.695 7.083
angles: 90.00 90.00 90.00
Space group Pmc2_1 (No. 26)
Symmetry-distinct sites (fractional):
Dy: 0.000 0.082 0.000 x2
Tm: 0.000 0.330 0.633 x2
Tm: 0.500 0.172 0.346 x2
Tm: 0.500 0.418 0.979 x2
Pt: 0.000 0.346 0.232 x2
Pt: 0.500 0.157 0.747 x2

***

Here is a relaxed structure of BaLi2RuF8 from the Alexandria database. Energies are from GGA-PBE.

Summary:
Raw total energy   -5.142 eV/atom
Size of the total moment   2.000 μB/cell
DOS at the Fermi energy   0.149 states/eV per atom
ρ   3.8 g/cm3
Volume   14.83 A^3/atom
Raw formation energy   -2642 meV per atom

abc: 4.816 5.149 7.482
angles: 80.47 81.82 78.17
Space group P-1 (No. 2)
Symmetry-distinct sites (fractional):
Ba: 0.000 0.000 0.000 x1
Li: 0.461 0.461 0.209 x2
Ru: 0.000 0.000 0.500 x1
F: 0.192 0.763 0.703 x2
F: 0.208 0.772 0.314 x2
F: 0.277 0.221 0.451 x2
F: 0.377 0.300 0.007 x2

***

Here is a relaxed structure of ReAgAs2Rh from the Alexandria database. Energies are from GGA-PBE.

Summary:
Formation energy   5.20 eV per formula unit
Raw total energy   -5.349 eV/atom
Size of the total moment   0.509 μB/cell
DOS at the Fermi energy   0.875 states/eV per atom
Energy above the lowest structure with this stoichiometry   0 kJ/mol of formula units
ρ   8.0 g/cm3
Volume   22.59 A^3/atom

abc: 4.668 4.668 5.185
angles: 90.00 90.00 90.00
Space group P4/mmm (No. 123)
Symmetry-distinct sites (fractional):
Re: 0.000 0.000 0.000 x1
Ag: 0.000 0.000 0.500 x1
As: 0.000 0.500 0.000 x2
Rh: 0.500 0.500 0.500 x1

***

Here is a relaxed structure of Y2FeH from the Alexandria database. Energies are from GGA-PBE.

Summary:
Raw total energy   -6.047 eV/atom
Size of the total moment   0.000 μB/cell
DOS at the Fermi energy   1.314 states/eV per atom
Energy above the lowest structure with this stoichiometry   0 kJ/mol of formula units
ρ   5.3 g/cm3
Volume   18.43 A^3/atom

abc: 6.449 6.449 7.090
angles: 90.00 90.00 90.00
Space group I-42d (No. 122)
Symmetry-distinct sites (fractional):
Y: 0.189 0.250 0.125 x8
Fe: 0.000 0.000 0.500 x4
H: 0.000 0.000 0.000 x4

***

Here is a relaxed structure of Pm2Pr5YTm from the Alexandria database. Energies are from GGA-PBE.

Summary:
Formation energy   2.50 eV per formula unit
Raw total energy   -4.648 eV/atom
Size of the total moment   0.000 μB/cell
DOS at the Fermi energy   1.522 states/eV per atom
ρ   6.5 g/cm3
Volume   35.38 A^3/atom

abc: 8.618 8.618 17.148
angles: 90.00 90.00 90.00
Space group I4/mcm (No. 140)
Symmetry-distinct sites (fractional):
Pm: 0.123 0.377 0.000 x8
Pr: 0.000 0.000 0.000 x4
Pr: 0.219 0.281 0.357 x16
Y: 0.000 0.000 0.250 x4
Tm: 0.000 0.500 0.250 x4

***

Here is a relaxed structure of LaDyTeO2 from the Alexandria database. Energies are from GGA-PBE.

Summary:
Raw total energy   -7.502 eV/atom
Size of the total moment   0.000 μB/cell
DOS at the Fermi energy   0.000 states/eV per atom
ρ   6.9 g/cm3
Volume   22.33 A^3/atom
Raw formation energy   -2984 meV per atom

abc: 7.004 4.174 8.000
angles: 90.00 107.31 90.00
Space group P2_1/m (No. 11)
Symmetry-distinct sites (fractional):
La: 0.181 0.250 0.425 x2
Dy: 0.156 0.250 0.914 x2
Te: 0.449 0.750 0.756 x2
O: 0.008 0.750 0.886 x2
O: 0.016 0.750 0.371 x2

***

Here is a relaxed structure of Na6Cl5 from the Alexandria database. Energies are from GGA-PBE.

Summary:
Raw total energy   -3.128 eV/atom
Size of the total moment   1.758 μB/cell
DOS at the Fermi energy   0.178 states/eV per atom
ρ   1.9 g/cm3
Volume   25.27 A^3/atom
Raw formation energy   -1570 meV per atom

abc: 6.987 12.086 6.983
angles: 90.00 109.48 90.00
Space group C2/m (No. 12)
Symmetry-distinct sites (fractional):
Na: 0.249 0.000 0.251 x4
Na: 0.250 0.167 0.750 x8
Cl: 0.000 0.000 0.500 x2
Cl: 0.000 0.167 0.000 x4
Cl: 0.000 0.334 0.500 x4

***

Here is a relaxed structure of LaZn2Cu from the Alexandria database. Energies are from GGA-PBE.

Summary:
Formation energy   -0.54 eV per formula unit
Raw total energy   -3.027 eV/atom
Size of the total moment   0.000 μB/cell
DOS at the Fermi energy   0.542 states/eV per atom
ρ   6.6 g/cm3
Volume   20.99 A^3/atom

abc: 4.108 4.497 4.723
angles: 90.00 105.77 90.00
Space group P2/m (No. 10)
Symmetry-distinct sites (fractional):
La: 0.000 0.000 0.000 x1
Zn: 0.352 0.500 0.699 x2
Cu: 0.500 0.000 0.500 x1

***

Here is a relaxed structure of MnMoRh14 from the Alexandria database. Energies are from GGA-PBE.

Summary:
Formation energy   -1.13 eV per formula unit
Raw total energy   -7.753 eV/atom
Size of the total moment   2.149 μB/cell
DOS at the Fermi energy   1.433 states/eV per atom
ρ   11.6 g/cm3
Volume   14.20 A^3/atom

abc: 5.432 5.432 7.698
angles: 90.00 90.00 90.00
Space group P4/mmm (No. 123)
Symmetry-distinct sites (fractional):
Mn: 0.000 0.000 0.000 x1
Mo: 0.500 0.500 0.000 x1
Rh: 0.000 0.000 0.500 x1
Rh: 0.000 0.500 0.000 x2
Rh: 0.000 0.500 0.500 x2
Rh: 0.250 0.250 0.248 x8
Rh: 0.500 0.500 0.500 x1

***

Here is a relaxed structure of LuSbPd2 from the Alexandria database. Energies are from GGA-PBE.

Summary:
Raw total energy   -5.618 eV/atom
Size of the total moment   0.000 μB/cell
DOS at the Fermi energy   0.453 states/eV per atom
Energy above the lowest structure with this stoichiometry   0 kJ/mol of formula units
ρ   11.1 g/cm3
Volume   19.13 A^3/atom
Raw formation energy   -861 meV per atom

abc: 6.739 6.739 6.739
angles: 90.00 90.00 90.00
Space group Fm-3m (No. 225)
Symmetry-distinct sites (fractional):
Lu: 0.000 0.000 0.000 x4
Sb: 0.000 0.000 0.500 x4
Pd: 0.250 0.250 0.250 x8